[1]
## RbGaAu (PBE-GGA)

Data for RbGaAu after structural relaxation.

```
RbGaAu
1.0
4.497 0.000 0.000
-2.248 3.894 0.000
0.000 0.000 5.531
Rb Ga Au
1 1 1
direct
0.000 0.000 0.000
0.333 0.667 0.500
0.667 0.333 0.500
```

**E**: -0.097 Ha/atom
**E_form**: -225 meV/atom
**Excess energy over the best structure of this formula in the dataset**: 0.065 eV/atom
**M_tot**: 0.000 μB/f.u.

[2]
## BAsO2F (PBE-GGA)

Data for BAsO2F after structural relaxation.

```
BAsO2F
1.0
3.421 0.000 0.000
0.000 3.421 0.000
0.000 0.000 3.705
B As O F
1 1 2 1
direct
0.000 0.000 0.000
0.500 0.500 0.500
0.000 0.500 0.000
0.500 0.000 0.000
0.000 0.000 0.500
```

**E**: -0.187 Ha/atom
**M_tot**: 0.000 μB/f.u.

[3]
## LiNdGdCr (PBE-GGA)

Data for LiNdGdCr after structural relaxation.

```
LiNdGdCr
1.0
0.000 3.667 3.667
3.667 0.000 3.667
3.667 3.667 0.000
Li Nd Gd Cr
1 1 1 1
direct
0.000 0.000 0.000
0.250 0.250 0.250
0.750 0.750 0.750
0.500 0.500 0.500
```

**E**: -0.271 Ha/atom
**E_form**: 230 meV/atom
**M_tot**: 10.188 μB/f.u.

[4]
## Zr6NiN3 (PBE-GGA)

Data for Zr6NiN3 after structural relaxation.

```
Zr6NiN3
1.0
9.889 0.000 0.000
0.000 3.288 0.000
-3.644 0.000 9.665
Zr Ni N
12 2 6
direct
0.034 0.250 0.366
0.136 0.750 0.127
0.265 0.250 0.663
0.339 0.750 0.439
0.350 0.750 0.941
0.434 0.250 0.224
0.566 0.750 0.776
0.650 0.250 0.059
0.661 0.250 0.561
0.735 0.750 0.337
0.864 0.250 0.873
0.966 0.750 0.634
0.126 0.250 0.886
0.874 0.750 0.114
0.143 0.750 0.518
0.226 0.250 0.279
0.460 0.250 0.859
0.540 0.750 0.141
0.774 0.750 0.721
0.857 0.250 0.482
```

**E**: -0.342 Ha/atom
**M_tot**: 0.000 μB/f.u.

[5]
## CsNiMoCl6 (PBE-GGA)

Data for CsNiMoCl6 after structural relaxation.

```
CsNiMoCl6
1.0
6.367 0.000 0.000
-3.183 5.514 0.000
0.000 0.000 7.914
Cs Ni Mo Cl
1 1 1 6
direct
0.000 0.000 0.000
0.333 0.667 0.500
0.667 0.333 0.500
0.005 0.370 0.674
0.005 0.635 0.326
0.365 0.370 0.326
0.365 0.995 0.674
0.630 0.635 0.674
0.630 0.995 0.326
```

**E**: -0.154 Ha/atom
**M_tot**: 5.007 μB/f.u.

[6]
## Dy2HoZn2Ge2 (PBE-GGA)

Data for Dy2HoZn2Ge2 after structural relaxation.

```
Dy2HoZn2Ge2
1.0
2.061 1.190 11.024
-2.061 1.190 11.024
0.000 -2.380 11.024
Dy Ho Zn Ge
2 1 2 2
direct
0.123 0.123 0.123
0.877 0.877 0.877
0.000 0.000 0.000
0.389 0.389 0.389
0.611 0.611 0.611
0.265 0.265 0.265
0.735 0.735 0.735
```

**E**: -0.150 Ha/atom
**E_form**: -442 meV/atom
**M_tot**: 0.000 μB/f.u.

Q: Number 3 is which compound?
A: LiNdGdCr

Copy entry 4 word for word.
## Zr6NiN3 (PBE-GGA)

Data for Zr6NiN3 after structural relaxation.

```
Zr6NiN3
1.0
9.889 0.000 0.000
0.000 3.288 0.000
-3.644 0.000 9.665
Zr Ni N
12 2 6
direct
0.034 0.250 0.366
0.136 0.750 0.127
0.265 0.250 0.663
0.339 0.750 0.439
0.350 0.750 0.941
0.434 0.250 0.224
0.566 0.750 0.776
0.650 0.250 0.059
0.661 0.250 0.561
0.735 0.750 0.337
0.864 0.250 0.873
0.966 0.750 0.634
0.126 0.250 0.886
0.874 0.750 0.114
0.143 0.750 0.518
0.226 0.250 0.279
0.460 0.250 0.859
0.540 0.750 0.141
0.774 0.750 0.721
0.857 0.250 0.482
```

**E**: -0.342 Ha/atom
**M_tot**: 0.000 μB/f.u.